[1]
# LiHo2Tc (GGA-PBE, optimized geometry)
# * E: -5.41 eV per atom
# * crystal system: cubic
data_LiHo2Tc
_chemical_formula_sum 'Li4 Ho8 Tc4'
_cell_length_a 6.9433
_cell_length_b 6.9433
_cell_length_c 6.9433
_cell_angle_alpha 90.00
_cell_angle_beta 90.00
_cell_angle_gamma 90.00
_space_group_name_H-M_alt 'F m -3 m'
_space_group_IT_number 225
_space_group_name_Hall '-F 4 2 3'
loop_
_atom_site_label
_atom_site_type_symbol
_atom_site_fract_x
_atom_site_fract_y
_atom_site_fract_z
Li1 Li 0.0000 0.0000 0.0000
Ho1 Ho 0.2500 0.2500 0.2500
Tc1 Tc 0.0000 0.0000 0.5000

***

[2]
# LiHoThTc (GGA-PBE, optimized geometry)
# * E: -6.15 eV per atom
# * crystal system: cubic
data_LiHoThTc
_chemical_formula_sum 'Li4 Ho4 Th4 Tc4'
_cell_length_a 7.0708
_cell_length_b 7.0708
_cell_length_c 7.0708
_cell_angle_alpha 90.00
_cell_angle_beta 90.00
_cell_angle_gamma 90.00
_space_group_name_H-M_alt 'F -4 3 m'
_space_group_IT_number 216
_space_group_name_Hall 'F -4 2 3'
loop_
_atom_site_label
_atom_site_type_symbol
_atom_site_fract_x
_atom_site_fract_y
_atom_site_fract_z
Li1 Li 0.0000 0.0000 0.0000
Ho1 Ho 0.2500 0.2500 0.7500
Th1 Th 0.2500 0.2500 0.2500
Tc1 Tc 0.0000 0.0000 0.5000

***

[3]
# LiYHoTc (GGA-PBE, optimized geometry)
# * E: -5.86 eV per atom
# * crystal system: cubic
data_LiYHoTc
_chemical_formula_sum 'Li4 Y4 Ho4 Tc4'
_cell_length_a 6.9746
_cell_length_b 6.9746
_cell_length_c 6.9746
_cell_angle_alpha 90.00
_cell_angle_beta 90.00
_cell_angle_gamma 90.00
_space_group_name_H-M_alt 'F -4 3 m'
_space_group_IT_number 216
_space_group_name_Hall 'F -4 2 3'
loop_
_atom_site_label
_atom_site_type_symbol
_atom_site_fract_x
_atom_site_fract_y
_atom_site_fract_z
Li1 Li 0.0000 0.0000 0.0000
Y1 Y 0.2500 0.2500 0.2500
Ho1 Ho 0.2500 0.2500 0.7500
Tc1 Tc 0.0000 0.0000 0.5000

***

[4]
# LiHoTe (GGA-PBE, optimized geometry)
# * E: -3.96 eV per atom
# * formation energy from raw total energies: -0.748 eV per atom
# * crystal system: orthorhombic
data_LiHoTe
_chemical_formula_sum 'Li4 Ho4 Te4'
_cell_length_a 4.4483
_cell_length_b 6.6842
_cell_length_c 9.3802
_cell_angle_alpha 90.00
_cell_angle_beta 90.00
_cell_angle_gamma 90.00
_space_group_name_H-M_alt 'I m m m'
_space_group_IT_number 71
_space_group_name_Hall '-I 2 2'
loop_
_atom_site_label
_atom_site_type_symbol
_atom_site_fract_x
_atom_site_fract_y
_atom_site_fract_z
Li1 Li 0.0000 0.0000 0.1549
Ho1 Ho 0.0000 0.2457 0.5000
Te1 Te 0.0000 0.5000 0.1903

***

[5]
# LiHoTe (GGA-PBE, optimized geometry)
# * E: -4.04 eV per atom
# * formation energy from raw total energies: -0.832 eV per atom
# * crystal system: hexagonal
data_LiHoTe
_chemical_formula_sum 'Li1 Ho1 Te1'
_cell_length_a 4.4155
_cell_length_b 4.4155
_cell_length_c 3.9510
_cell_angle_alpha 90.00
_cell_angle_beta 90.00
_cell_angle_gamma 120.00
_space_group_name_H-M_alt 'P -6 m 2'
_space_group_IT_number 187
_space_group_name_Hall 'P -6 2'
loop_
_atom_site_label
_atom_site_type_symbol
_atom_site_fract_x
_atom_site_fract_y
_atom_site_fract_z
Li1 Li 0.0000 0.0000 0.0000
Ho1 Ho 0.6667 0.3333 0.5000
Te1 Te 0.3333 0.6667 0.0000

***

[6]
# LiHo3Te4 (GGA-PBE, optimized geometry)
# * E: -4.81 eV per atom
# * formation energy from raw total energies: -1.285 eV per atom
# * crystal system: tetragonal
data_LiHo3Te4
_chemical_formula_sum 'Li2 Ho6 Te8'
_cell_length_a 6.1097
_cell_length_b 6.1097
_cell_length_c 12.2084
_cell_angle_alpha 90.00
_cell_angle_beta 90.00
_cell_angle_gamma 90.00
_space_group_name_H-M_alt 'I 4/m m m'
_space_group_IT_number 139
_space_group_name_Hall '-I 4 2'
loop_
_atom_site_label
_atom_site_type_symbol
_atom_site_fract_x
_atom_site_fract_y
_atom_site_fract_z
Li1 Li 0.0000 0.0000 0.0000
Ho1 Ho 0.0000 0.0000 0.5000
Ho2 Ho 0.0000 0.5000 0.2500
Te1 Te 0.0000 0.0000 0.2432
Te2 Te 0.0000 0.5000 0.0000

***

[7]
# Li3HoTe3 (GGA-PBE, optimized geometry)
# * E: -3.98 eV per atom
# * formation energy from raw total energies: -1.158 eV per atom
# * crystal system: trigonal
data_Li3HoTe3
_chemical_formula_sum 'Li18 Ho6 Te18'
_cell_length_a 7.9022
_cell_length_b 7.9022
_cell_length_c 21.6168
_cell_angle_alpha 90.00
_cell_angle_beta 90.00
_cell_angle_gamma 120.00
_space_group_name_H-M_alt 'R -3'
_space_group_IT_number 148
_space_group_name_Hall '-R 3'
loop_
_atom_site_label
_atom_site_type_symbol
_atom_site_fract_x
_atom_site_fract_y
_atom_site_fract_z
Li1 Li 0.0070 0.6944 0.1208
Ho1 Ho 0.0000 0.0000 0.3344
Te1 Te 0.0041 0.6451 0.9189

***

[8]
# LiHo2Te (GGA-PBE, optimized geometry)
# * E: -4.07 eV per atom
# * formation energy from raw total energies: -0.518 eV per atom
# * crystal system: tetragonal
data_LiHo2Te
_chemical_formula_sum 'Li1 Ho2 Te1'
_cell_length_a 3.9191
_cell_length_b 3.9191
_cell_length_c 6.6271
_cell_angle_alpha 90.00
_cell_angle_beta 90.00
_cell_angle_gamma 90.00
_space_group_name_H-M_alt 'P 4/m m m'
_space_group_IT_number 123
_space_group_name_Hall '-P 4 2'
loop_
_atom_site_label
_atom_site_type_symbol
_atom_site_fract_x
_atom_site_fract_y
_atom_site_fract_z
Li1 Li 0.0000 0.0000 0.0000
Ho1 Ho 0.5000 0.5000 0.2456
Te1 Te 0.0000 0.0000 0.5000

***

Size of the total moment (computed, Bohr magnetons per cell): 0.00 0.00 0.00 0.00 0.00 0.00 0.00 0.73